No. 1
Compound: Li3Cd2Ga2
Source: Alexandria
Functional: PBE
Structure: relaxed

Lattice parameters (Å, degrees): 4.5969 4.5969 7.1839 90.01 108.63 120.03
Fractional positions:
Li 0.0000 0.0000 0.0000
Li 0.7188 0.8587 0.5775
Li 0.2812 0.1413 0.4225
Cd 0.4410 0.7213 0.1623
Cd 0.5590 0.2787 0.8377
Ga 0.1377 0.5671 0.7049
Ga 0.8623 0.4329 0.2951

The formation enthalpy at 0 K comes out at -0.2525 eV per atom. The value obtained for the total energy is -2.20 eV/atom. The value obtained for the distance to the lowest polymorph of the same formula is 0.0 meV per atom.

No. 2
Compound: Li8Cd6Ga
Source: Alexandria
Functional: PBE
Structure: relaxed

Lattice parameters (Å, degrees): 7.9882 7.9882 6.8784 54.50 54.50 60.00
Fractional positions:
Li 0.6317 0.1347 0.2884
Li 0.8653 0.0548 0.7116
Li 0.0548 0.3683 0.7116
Li 0.7509 0.7509 0.7472
Li 0.2491 0.2491 0.2528
Li 0.9452 0.6317 0.2884
Li 0.1347 0.9452 0.2884
Li 0.3683 0.8653 0.7116
Cd 0.4377 0.1676 0.7685
Cd 0.8324 0.3738 0.2315
Cd 0.3738 0.5623 0.2315
Cd 0.6262 0.4377 0.7685
Cd 0.1676 0.6262 0.7685
Cd 0.5623 0.8324 0.2315
Ga 0.0000 0.0000 0.0000

The formation enthalpy at 0 K comes out at -0.1435 eV per atom. The value obtained for the total energy is -1.73 eV/atom.

No. 3
Compound: Li4Cd2Ga3
Source: Alexandria
Functional: PBE
Structure: relaxed

Lattice parameters (Å, degrees): 4.2950 4.8081 8.5457 79.79 90.01 63.47
Fractional positions:
Li 0.6503 0.7001 0.8877
Li 0.0236 0.9527 0.3342
Li 0.9764 0.0473 0.6658
Li 0.3497 0.2999 0.1123
Cd 0.3090 0.3822 0.7817
Cd 0.6910 0.6178 0.2183
Ga 0.3427 0.3144 0.4452
Ga 0.0000 0.0000 0.0000
Ga 0.6573 0.6856 0.5548

The formation enthalpy at 0 K comes out at -0.2262 eV per atom. The value obtained for the total energy is -2.29 eV/atom.

No. 4
Compound: Li7Cd4Ga
Source: Alexandria
Functional: PBE
Structure: relaxed

Lattice parameters (Å, degrees): 4.9020 7.8172 7.3337 59.84 70.48 71.73
Fractional positions:
Li 0.7919 0.8521 0.5641
Li 0.2081 0.1479 0.4359
Li 0.0715 0.5908 0.2662
Li 0.9285 0.4092 0.7338
Li 0.2074 0.7877 0.7974
Li 0.5000 0.0000 0.0000
Li 0.7926 0.2123 0.2026
Cd 0.5778 0.2785 0.5660
Cd 0.4222 0.7215 0.4340
Cd 0.6728 0.6140 0.0405
Cd 0.3272 0.3860 0.9595
Ga 0.0000 0.0000 0.0000

The formation enthalpy at 0 K comes out at -0.1302 eV per atom. The value obtained for the total energy is -1.80 eV/atom.

Q: The highest formation enthalpy at 0 K belongs to which entry?
A: Li7Cd4Ga

Q: What is the formula in the fourth record?
A: Li7Cd4Ga